[1]
Here is crystalline Ac2CoGe5 at its relaxed geometry from the Alexandria database. Energies are from PBE.

Computed properties:
- Energy of formation: -0.376 eV per atom
- Size of the total moment: 0.00 μB per formula unit
- Density of states at the Fermi level: 5.50 states/eV/cell
- Volume: 23.43 Å³/atom
- Symmetry: I4mm

Cell: 6.543 6.543 6.543 Å, 123.25 123.25 84.45°
Atoms (fractional coordinates):
Ac: 0.000 0.500 0.500
Ac: 0.500 0.000 0.500
Co: 0.309 0.309 0.000
Ge: 0.531 0.531 0.550
Ge: 0.531 0.981 0.000
Ge: 0.556 0.556 0.000
Ge: 0.981 0.531 0.000
Ge: 0.981 0.981 0.450

---

[2]
Here is crystalline RbAc2MgSe4 at its relaxed geometry from the Alexandria database. Energies are from PBE.

Computed properties:
- Size of the total moment: 0.00 μB per formula unit
- Density of states at the Fermi level: 3.61 states/eV/cell
- Volume: 33.52 Å³/atom
- Symmetry: Cmcm
- Formation energy from raw total energies: -1.637 eV per atom

Cell: 8.118 8.118 15.595 Å, 90.00 90.00 148.55°
Atoms (fractional coordinates):
Rb: 0.105 0.895 0.750
Rb: 0.895 0.105 0.250
Ac: 0.371 0.629 0.551
Ac: 0.371 0.629 0.949
Ac: 0.629 0.371 0.051
Ac: 0.629 0.371 0.449
Mg: 0.168 0.832 0.250
Mg: 0.832 0.168 0.750
Se: 0.000 0.000 0.000
Se: 0.000 0.000 0.500
Se: 0.265 0.735 0.117
Se: 0.265 0.735 0.383
Se: 0.423 0.577 0.750
Se: 0.577 0.423 0.250
Se: 0.735 0.265 0.617
Se: 0.735 0.265 0.883

---

[3]
Here is crystalline TeSeBr2 at its relaxed geometry from the Alexandria database. Energies are from PBE.

Computed properties:
- Size of the total moment: 0.00 μB per formula unit
- Density of states at the Fermi level: 4.49 states/eV/cell
- Volume: 24.82 Å³/atom
- Energy above the most stable polymorph in this dataset: 695 meV/atom
- Symmetry: P4/mmm
- Formation energy from raw total energies: 0.528 eV per atom

Cell: 4.678 4.678 4.537 Å, 90.00 90.00 90.00°
Atoms (fractional coordinates):
Te: 0.000 0.000 0.000
Se: 0.500 0.500 0.000
Br: 0.000 0.500 0.500
Br: 0.500 0.000 0.500

---

[4]
Here is crystalline AlCoW2 at its relaxed geometry from the Alexandria database. Energies are from PBE.

Computed properties:
- Energy of formation: 0.050 eV per atom
- Size of the total moment: 1.17 μB per formula unit
- Density of states at the Fermi level: 3.87 states/eV/cell
- Volume: 14.38 Å³/atom
- Symmetry: Imm2

Cell: 4.918 4.918 4.918 Å, 141.57 127.85 66.61°
Atoms (fractional coordinates):
Al: 0.000 0.000 0.000
Co: 0.231 0.731 0.500
W: 0.476 0.476 0.000
W: 0.730 0.230 0.500

---

[5]
Here is crystalline CsThUO6 at its relaxed geometry from the Alexandria database. Energies are from PBE.

Computed properties:
- Size of the total moment: 0.99 μB per formula unit
- Density of states at the Fermi level: 18.59 states/eV/cell
- Volume: 21.62 Å³/atom
- Symmetry: Imma
- Formation energy from raw total energies: -2.870 eV per atom

Cell: 8.174 8.174 8.174 Å, 119.70 119.29 90.88°
Atoms (fractional coordinates):
Cs: 0.362 0.112 0.250
Cs: 0.638 0.888 0.750
Th: 0.000 0.500 0.500
Th: 0.500 0.500 0.000
U: 0.000 0.000 0.500
U: 0.000 0.500 0.000
O: 0.052 0.802 0.250
O: 0.053 0.422 0.219
O: 0.053 0.834 0.631
O: 0.297 0.166 0.719
O: 0.297 0.578 0.131
O: 0.324 0.574 0.750
O: 0.676 0.426 0.250
O: 0.703 0.422 0.869
O: 0.703 0.834 0.281
O: 0.947 0.166 0.369
O: 0.947 0.578 0.781
O: 0.948 0.198 0.750

---

[6]
Here is crystalline Cs2MgZrBr6 at its relaxed geometry from the Alexandria database. Energies are from PBE.

Computed properties:
- Size of the total moment: 2.00 μB per formula unit
- Density of states at the Fermi level: 8.42 states/eV/cell
- Volume: 33.58 Å³/atom
- Symmetry: Fm-3m
- Formation energy from raw total energies: -1.392 eV per atom

Cell: 7.802 7.802 7.802 Å, 60.00 60.00 60.00°
Atoms (fractional coordinates):
Cs: 0.250 0.250 0.250
Cs: 0.750 0.750 0.750
Mg: 0.000 0.000 0.000
Zr: 0.500 0.500 0.500
Br: 0.245 0.245 0.755
Br: 0.245 0.755 0.245
Br: 0.245 0.755 0.755
Br: 0.755 0.245 0.245
Br: 0.755 0.245 0.755
Br: 0.755 0.755 0.245